(1)
PBE-GGA YHoCSe, relaxed; raw total energy = -7.10 eV per atom; space-group type = P-6m2
1.0
-0.6183 -3.2988 1.6782
-1.0356 0.5121 -3.5701
11.8699 -4.2893 -4.0583
C Ho Se Y
2 2 2 2
Cartesian
2.9712 -1.0737 -1.0159
8.8987 -3.2156 -3.0425
3.3978 -3.5300 -1.4919
6.9573 -4.8163 -2.7089
-0.7574 -2.0285 -0.0712
5.0385 -2.9029 -3.8499
0.8825 -1.4011 -2.4289
9.1945 -4.4047 -5.2708

---

(2)
PBE-GGA YHoCSe, relaxed; raw total energy = -7.10 eV per atom; space-group type = P-3m1
1.0
-3.5322 -0.0784 -1.2639
0.6993 -0.5294 3.6484
-1.0384 13.0513 2.0929
C Ho Se Y
2 2 2 2
Cartesian
0.0000 0.0000 0.0000
-0.5192 6.5256 1.0464
-0.8150 0.9253 2.2201
-3.0563 11.5182 2.2572
-2.3811 3.0313 0.8963
-1.4902 9.4122 3.5810
-1.1263 4.8383 2.8476
-2.7450 7.6052 1.6297

---

(3)
PBE-GGA YHoCSe, relaxed; raw total energy = -7.10 eV per atom; space-group type = P6_3mc
1.0
3.7535 0.0000 0.0000
-1.8767 3.2506 0.0000
0.0000 0.0000 13.2447
C Ho Se Y
2 2 2 2
Cartesian
0.0000 0.0000 6.6076
0.0000 0.0000 13.2300
0.0000 2.1671 5.2982
1.8767 1.0835 11.9205
1.8767 1.0835 3.3211
0.0000 2.1671 9.9434
0.0000 2.1671 1.3290
1.8767 1.0835 7.9514

---

(4)
PBE-GGA HoZrCSe, relaxed; raw total energy = -7.60 eV per atom; space-group type = P-6m2; relative energy among the computed polymorphs = 11 meV per atom
1.0
3.5857 0.0000 0.0000
-1.7929 3.1053 0.0000
0.0000 0.0000 13.0071
C Ho Se Zr
2 2 2 2
Cartesian
0.0000 0.0000 3.0735
0.0000 0.0000 9.9336
1.7929 1.0351 4.5014
1.7929 1.0351 8.5056
1.7929 1.0351 0.0000
0.0000 2.0702 6.5035
0.0000 2.0702 1.9380
0.0000 2.0702 11.0690

---

(5)
PBE-GGA HoZrCSe, relaxed; raw total energy = -7.62 eV per atom; space-group type = P6_3mc; relative energy among the computed polymorphs = 0 meV per atom
1.0
-3.5695 -0.1303 0.2356
1.6613 -1.4434 -2.8233
0.8305 -11.3596 6.2962
C Ho Se Zr
2 2 2 2
Cartesian
0.0070 -0.0963 0.0534
0.4223 -5.7761 3.2015
0.2507 -5.5614 0.7214
-1.0777 -10.8035 4.8892
-1.6241 -3.3286 0.7461
0.5347 -9.4461 2.8746
-0.0014 -2.1129 -1.1900
-1.3298 -7.3550 2.9778

---

(6)
PBE-GGA HoZr3C2Se2, relaxed; raw total energy = -8.13 eV per atom; space-group type = P3m1
1.0
3.5270 0.0000 0.0000
-1.7635 3.0545 0.0000
0.0000 0.0000 12.8619
C Ho Se Zr
2 1 2 3
Cartesian
0.0000 2.0363 0.1381
0.0000 2.0363 6.4006
0.0000 0.0000 11.5969
0.0000 0.0000 3.2562
1.7635 1.0182 9.5122
1.7635 1.0182 1.3038
1.7635 1.0182 5.1989
0.0000 0.0000 7.6101

---

(7)
PBE-GGA HoZrCSe, relaxed; raw total energy = -7.61 eV per atom; space-group type = P-3m1; relative energy among the computed polymorphs = 9 meV per atom
1.0
3.5991 0.0000 0.0000
-1.7996 3.1169 0.0000
0.0000 0.0000 12.9897
C Ho Se Zr
2 2 2 2
Cartesian
0.0000 0.0000 0.0000
0.0000 0.0000 6.4949
0.0000 2.0780 1.3283
1.7996 1.0390 11.6614
1.7996 1.0390 3.4137
0.0000 2.0780 9.5761
0.0000 2.0780 5.2981
1.7996 1.0390 7.6917

---

(8)
PBE-GGA Ho2SiW2C2, relaxed; raw total energy = -8.67 eV per atom; space-group type = C2/m
1.0
6.8560 -1.6464 0.0000
6.8560 1.6464 0.0000
-2.2525 0.0000 5.3359
C Ho Si W
2 2 1 2
Cartesian
9.7140 0.0000 1.3674
1.7454 0.0000 3.9685
4.6214 0.0000 1.0190
6.8380 0.0000 4.3169
0.0000 0.0000 0.0000
1.6050 0.0000 1.8111
9.8545 0.0000 3.5247

---

(9)
PBE-GGA YHoSi2W2C, relaxed; raw total energy = -8.69 eV per atom; space-group type = Cm
1.0
5.5430 -1.9177 0.0000
5.5430 1.9177 0.0000
-4.1128 0.0000 5.8065
C Ho Si W Y
1 1 2 2 1
Cartesian
6.9748 0.0000 5.7966
1.8219 0.0000 4.0909
8.2311 0.0000 1.9703
-1.2617 0.0000 3.8412
1.9540 0.0000 0.4861
5.0193 0.0000 5.3164
5.1536 0.0000 1.7244

---

(10)
PBE-GGA Sm2Ho2C3, relaxed; raw total energy = -6.76 eV per atom; space-group type = C2/m
1.0
6.6306 -1.8815 0.0000
6.6306 1.8815 0.0000
-2.6506 0.0000 5.5328
C Ho Sm
3 2 2
Cartesian
0.0000 0.0000 0.0000
2.9230 0.0000 1.6701
7.6876 0.0000 3.8627
0.6180 0.0000 2.4479
9.9926 0.0000 3.0849
4.8163 0.0000 0.0531
5.7943 0.0000 5.4796

---

(11)
PBE-GGA SmHoC2, relaxed; raw total energy = -6.95 eV per atom; space-group type = Amm2
1.0
-1.7977 1.2562 -3.3105
-2.9833 2.1161 2.4230
1.9121 3.9230 0.4503
C Ho Sm
2 1 1
Cartesian
-2.2855 4.7976 0.6799
-1.0709 5.2459 0.1905
-1.3076 2.9324 -0.5589
-1.0159 5.7272 2.7249

---

(12)
PBE-GGA Ho4Sn2C, relaxed; raw total energy = -5.75 eV per atom; space-group type = I4/mmm
1.0
-2.3850 2.3850 7.9292
2.3850 -2.3850 7.9292
2.3850 2.3850 -7.9292
C Ho Sn
1 4 2
Cartesian
0.0000 0.0000 0.0000
0.0000 0.0000 2.5183
0.0000 0.0000 13.3401
0.0000 2.3850 0.0000
2.3850 0.0000 0.0000
0.0000 0.0000 5.7000
0.0000 0.0000 10.1584

---

(13)
PBE-GGA TbHoSnC, relaxed; raw total energy = -6.14 eV per atom; space-group type = P-3m1
1.0
3.6201 0.0000 0.0000
-1.8100 3.1351 0.0000
0.0000 0.0000 15.9118
C Ho Sn Tb
2 2 2 2
Cartesian
0.0000 0.0000 0.0000
0.0000 0.0000 7.9559
0.0000 2.0900 6.6258
1.8100 1.0450 9.2860
1.8100 1.0450 4.0055
0.0000 2.0900 11.9063
0.0000 2.0900 1.3567
1.8100 1.0450 14.5551

---

(14)
PBE-GGA TbHoSnC, relaxed; raw total energy = -6.14 eV per atom; space-group type = P-6m2
1.0
3.6205 0.0000 0.0000
-1.8103 3.1354 0.0000
0.0000 0.0000 15.8969
C Ho Sn Tb
2 2 2 2
Cartesian
0.0000 0.0000 3.9527
0.0000 0.0000 11.9442
1.8103 1.0451 2.6273
1.8103 1.0451 13.2696
0.0000 2.0903 0.0000
1.8103 1.0451 7.9484
0.0000 2.0903 5.3129
0.0000 2.0903 10.5840

---

(15)
PBE-GGA Tb3HoSn2C2, relaxed; raw total energy = -6.14 eV per atom; space-group type = P3m1
1.0
3.6294 0.0000 0.0000
-1.8147 3.1432 0.0000
0.0000 0.0000 15.9524
C Ho Sn Tb
2 1 2 3
Cartesian
0.0000 2.0954 7.9789
0.0000 2.0954 15.9347
0.0000 0.0000 14.6080
0.0000 0.0000 3.9831
1.8147 1.0477 11.9855
1.8147 1.0477 1.3404
1.8147 1.0477 6.6225
0.0000 0.0000 9.3329

---

(16)
PBE-GGA HoTm3Sn2C2, relaxed; raw total energy = -6.14 eV per atom; space-group type = P3m1
1.0
3.5741 0.0000 0.0000
-1.7870 3.0953 0.0000
0.0000 0.0000 15.6391
C Ho Sn Tm
2 1 2 3
Cartesian
1.7871 1.0318 7.8214
1.7871 1.0318 15.6251
0.0000 0.0000 1.3207
0.0000 2.0635 3.9239
0.0000 0.0000 11.7273
0.0000 0.0000 6.5090
0.0000 2.0635 9.1309
0.0000 2.0635 14.3175

---

(17)
PBE-GGA YHoSnC, relaxed; raw total energy = -6.62 eV per atom; space-group type = P-6m2
1.0
3.6167 0.0000 0.0000
-1.8084 3.1322 0.0000
0.0000 0.0000 15.8251
C Ho Sn Y
2 2 2 2
Cartesian
0.0000 0.0000 3.9407
0.0000 0.0000 11.8844
0.0000 2.0881 2.6226
0.0000 2.0881 13.2025
1.8084 1.0441 0.0000
0.0000 2.0881 7.9125
1.8084 1.0441 5.2974
1.8084 1.0441 10.5277

---

(18)
PBE-GGA YHo3Sn2C2, relaxed; raw total energy = -6.39 eV per atom; space-group type = P3m1
1.0
3.6087 0.0000 0.0000
-1.8044 3.1253 0.0000
0.0000 0.0000 15.8101
C Ho Sn Y
2 3 2 1
Cartesian
0.0000 2.0835 0.0166
0.0000 2.0835 7.9062
1.8044 1.0418 1.3328
1.8044 1.0418 6.5746
0.0000 0.0000 9.2349
0.0000 0.0000 3.9549
1.8044 1.0418 11.8490
0.0000 0.0000 14.4664

---

(19)
PBE-GGA YHoSnC, relaxed; raw total energy = -6.62 eV per atom; space-group type = P-3m1
1.0
3.6172 0.0000 0.0000
-1.8086 3.1326 0.0000
0.0000 0.0000 15.8292
C Ho Sn Y
2 2 2 2
Cartesian
0.0000 0.0000 0.0000
0.0000 0.0000 7.9146
0.0000 2.0884 1.3286
1.8086 1.0442 14.5006
1.8086 1.0442 3.9432
0.0000 2.0884 11.8860
0.0000 2.0884 6.5693
1.8086 1.0442 9.2599

---

(20)
PBE-GGA HoZrSnC, relaxed; raw total energy = -7.27 eV per atom; space-group type = P-6m2; relative energy among the computed polymorphs = 8 meV per atom
1.0
3.4683 0.0000 0.0000
-1.7341 3.0036 0.0000
0.0000 0.0000 15.2768
C Ho Sn Zr
2 2 2 2
Cartesian
0.0000 0.0000 3.5936
0.0000 0.0000 11.6832
1.7342 1.0012 5.0164
1.7342 1.0012 10.2604
1.7342 1.0012 0.0000
0.0000 2.0024 7.6384
0.0000 2.0024 2.4235
0.0000 2.0024 12.8533